A:
Material: Rb3Tl2Bi4
Method: DFT, PBE-GGA
State: relaxed

extended XYZ file:
```
9
Lattice="6.645 -2.719 0.000 6.645 2.719 0.000 -1.744 0.000 10.403" Properties=species:S:1:pos:R:3 pbc="T T T"
Rb 0.000 0.000 0.000
Rb 4.656 0.000 3.071
Rb 6.890 0.000 7.332
Tl 2.787 0.000 6.554
Tl 8.759 0.000 3.849
Bi 0.363 0.000 4.232
Bi 2.137 0.000 9.769
Bi 9.409 0.000 0.634
Bi 11.183 0.000 6.171
```

***

B:
Material: Rb3Tl2Bi4
Method: DFT, PBE-GGA
State: relaxed

extended XYZ file:
```
9
Lattice="5.586 0.000 0.000 2.792 6.803 0.000 0.010 2.628 9.405" Properties=species:S:1:pos:R:3 pbc="T T T"
Rb 0.000 0.000 0.000
Rb 2.798 2.342 6.412
Rb 5.590 7.089 2.994
Tl 2.799 4.602 3.172
Tl 5.589 4.829 6.234
Bi 2.796 6.629 5.977
Bi 2.802 5.462 8.876
Bi 5.585 3.969 0.529
Bi 5.592 2.802 3.428
```

***

It turns out B is the most stable, with the second structure 0.9 kJ/mol of atoms higher.